No. 1
{"formula": "ErCu5", "functional": "SCAN", "state": "PBEsol geometry", "lattice": [[0.0000, 3.4401, 3.4401], [3.4401, 0.0000, 3.4401], [3.4401, 3.4401, 0.0000]], "species": ["Er", "Cu", "Cu", "Cu", "Cu", "Cu"], "frac_coords": [[0.0000, 0.0000, 0.0000], [0.3760, 0.3760, 0.3760], [0.3760, 0.3760, 0.8719], [0.3760, 0.8719, 0.3760], [0.7500, 0.7500, 0.7500], [0.8719, 0.3760, 0.3760]], "formation_enthalpy_0k_mev_per_atom": -217, "spacegroup": "F-43m", "dft_energy_ev_per_atom": -21.27, "total_magnetization_mub_per_fu": 0.0, "volume_a3_per_atom": 13.6, "dos_ef_per_ev_atom": 0.5785}

---

No. 2
{"formula": "Ca4Al6WO16", "functional": "SCAN", "state": "PBEsol geometry", "lattice": [[-4.6876, 4.6876, 4.6876], [4.6876, -4.6876, 4.6876], [4.6876, 4.6876, -4.6876]], "species": ["Ca", "Ca", "Ca", "Ca", "Al", "Al", "Al", "Al", "Al", "Al", "W", "O", "O", "O", "O", "O", "O", "O", "O", "O", "O", "O", "O", "O", "O", "O", "O"], "frac_coords": [[0.0000, 0.0000, 0.5019], [0.0000, 0.5019, 0.0000], [0.4981, 0.4981, 0.4981], [0.5019, 0.0000, 0.0000], [0.2500, 0.5000, 0.7500], [0.2500, 0.7500, 0.5000], [0.5000, 0.2500, 0.7500], [0.5000, 0.7500, 0.2500], [0.7500, 0.2500, 0.5000], [0.7500, 0.5000, 0.2500], [0.0000, 0.0000, 0.0000], [0.0000, 0.0000, 0.7801], [0.0000, 0.3015, 0.6102], [0.0000, 0.6102, 0.3015], [0.0000, 0.7801, 0.0000], [0.2199, 0.2199, 0.2199], [0.3015, 0.0000, 0.6102], [0.3015, 0.6102, 0.0000], [0.3087, 0.6985, 0.6985], [0.3898, 0.3898, 0.6913], [0.3898, 0.6913, 0.3898], [0.6102, 0.0000, 0.3015], [0.6102, 0.3015, 0.0000], [0.6913, 0.3898, 0.3898], [0.6985, 0.3087, 0.6985], [0.6985, 0.6985, 0.3087], [0.7801, 0.0000, 0.0000]], "raw_formation_energy_kcal_per_mol_atoms": -73.76, "spacegroup": "I-43m", "dft_energy_ev_per_atom": -12.63, "total_magnetization_mub_per_fu": 0.0, "volume_a3_per_atom": 15.3, "dos_ef_per_ev_atom": 0.0000}

---

No. 3
{"formula": "Sc3BMo", "functional": "SCAN", "state": "PBEsol geometry", "lattice": [[4.5243, 0.0000, 0.0000], [0.0000, 4.5243, 0.0000], [0.0000, 0.0000, 4.5243]], "species": ["Sc", "Sc", "Sc", "B", "Mo"], "frac_coords": [[0.0000, 0.0000, 0.5000], [0.0000, 0.5000, 0.0000], [0.5000, 0.0000, 0.0000], [0.0000, 0.0000, 0.0000], [0.5000, 0.5000, 0.5000]], "formation_enthalpy_0k_mev_per_atom": 357, "spacegroup": "Pm-3m", "dft_energy_ev_per_atom": -16.65, "total_magnetization_mub_per_fu": 0.0, "volume_a3_per_atom": 18.5, "dos_ef_per_ev_atom": 1.2300}

---

No. 4
{"formula": "Ta2TcBr", "functional": "SCAN", "state": "PBEsol geometry", "lattice": [[3.1429, 0.0000, 0.0000], [0.0000, 3.1429, 0.0000], [0.0000, 0.0000, 7.1640]], "species": ["Ta", "Ta", "Tc", "Br"], "frac_coords": [[0.0000, 0.0000, 0.0000], [0.5000, 0.5000, 0.2555], [0.0000, 0.0000, 0.4420], [0.5000, 0.5000, 0.7460]], "raw_formation_energy_kcal_per_mol_atoms": 5.62, "spacegroup": "P4mm", "dft_energy_ev_per_atom": -46.68, "total_magnetization_mub_per_fu": 0.0, "volume_a3_per_atom": 17.7, "dos_ef_per_ev_atom": 0.6601}

---

No. 5
{"formula": "SrSi2IrRu", "functional": "SCAN", "state": "PBEsol geometry", "lattice": [[4.4842, 0.0000, 0.0000], [0.0000, 4.4842, 0.0000], [0.0000, 0.0000, 5.3095]], "species": ["Sr", "Si", "Si", "Ir", "Ru"], "frac_coords": [[0.0000, 0.0000, 0.0000], [0.0000, 0.5000, 0.5000], [0.5000, 0.0000, 0.5000], [0.5000, 0.5000, 0.0000], [0.0000, 0.0000, 0.5000]], "raw_formation_energy_kcal_per_mol_atoms": 16.41, "spacegroup": "P4/mmm", "dft_energy_ev_per_atom": -28.93, "total_magnetization_mub_per_fu": 1.0, "volume_a3_per_atom": 21.4, "dos_ef_per_ev_atom": 0.8053}

---

No. 6
{"formula": "ZrMnGe2", "functional": "SCAN", "state": "PBEsol geometry", "lattice": [[9.1358, 0.0000, 0.0000], [0.0000, 10.0370, 0.0000], [0.0000, 0.0000, 7.9847]], "species": ["Zr", "Zr", "Zr", "Zr", "Zr", "Zr", "Zr", "Zr", "Zr", "Zr", "Zr", "Zr", "Mn", "Mn", "Mn", "Mn", "Mn", "Mn", "Mn", "Mn", "Mn", "Mn", "Mn", "Mn", "Ge", "Ge", "Ge", "Ge", "Ge", "Ge", "Ge", "Ge", "Ge", "Ge", "Ge", "Ge", "Ge", "Ge", "Ge", "Ge", "Ge", "Ge", "Ge", "Ge", "Ge", "Ge", "Ge", "Ge"], "frac_coords": [[0.1651, 0.1793, 0.0000], [0.1729, 0.4519, 0.2446], [0.1729, 0.4519, 0.7554], [0.3271, 0.9519, 0.2446], [0.3271, 0.9519, 0.7554], [0.3349, 0.6793, 0.0000], [0.6651, 0.3207, 0.0000], [0.6729, 0.0481, 0.2446], [0.6729, 0.0481, 0.7554], [0.8271, 0.5481, 0.2446], [0.8271, 0.5481, 0.7554], [0.8349, 0.8207, 0.0000], [0.0000, 0.0000, 0.2462], [0.0000, 0.0000, 0.7538], [0.0847, 0.7520, 0.2500], [0.0847, 0.7520, 0.7500], [0.4153, 0.2520, 0.2500], [0.4153, 0.2520, 0.7500], [0.5000, 0.5000, 0.2462], [0.5000, 0.5000, 0.7538], [0.5847, 0.7480, 0.2500], [0.5847, 0.7480, 0.7500], [0.9153, 0.2480, 0.2500], [0.9153, 0.2480, 0.7500], [0.0402, 0.6233, 0.5000], [0.0406, 0.6209, 0.0000], [0.1222, 0.8996, 0.5000], [0.1288, 0.8961, 0.0000], [0.1661, 0.1815, 0.3431], [0.1661, 0.1815, 0.6569], [0.3339, 0.6815, 0.3431], [0.3339, 0.6815, 0.6569], [0.3712, 0.3961, 0.0000], [0.3778, 0.3996, 0.5000], [0.4594, 0.1209, 0.0000], [0.4598, 0.1233, 0.5000], [0.5402, 0.8767, 0.5000], [0.5406, 0.8791, 0.0000], [0.6222, 0.6004, 0.5000], [0.6288, 0.6039, 0.0000], [0.6661, 0.3185, 0.3431], [0.6661, 0.3185, 0.6569], [0.8339, 0.8185, 0.3431], [0.8339, 0.8185, 0.6569], [0.8712, 0.1039, 0.0000], [0.8778, 0.1004, 0.5000], [0.9594, 0.3791, 0.0000], [0.9598, 0.3767, 0.5000]], "formation_enthalpy_0k_mev_per_atom": -627, "spacegroup": "Pbam", "dft_energy_ev_per_atom": -22.41, "total_magnetization_mub_per_fu": 2.3, "volume_a3_per_atom": 15.3, "dos_ef_per_ev_atom": 0.4689}

---

No. 7
{"formula": "Li3GaN2", "functional": "SCAN", "state": "PBEsol geometry", "lattice": [[-4.7760, 4.7760, 4.7760], [4.7760, -4.7760, 4.7760], [4.7760, 4.7760, -4.7760]], "species": ["Li", "Li", "Li", "Li", "Li", "Li", "Li", "Li", "Li", "Li", "Li", "Li", "Li", "Li", "Li", "Li", "Li", "Li", "Li", "Li", "Li", "Li", "Li", "Li", "Ga", "Ga", "Ga", "Ga", "Ga", "Ga", "Ga", "Ga", "N", "N", "N", "N", "N", "N", "N", "N", "N", "N", "N", "N", "N", "N", "N", "N"], "frac_coords": [[0.0079, 0.5321, 0.7689], [0.0242, 0.7632, 0.0321], [0.0321, 0.0242, 0.7632], [0.2311, 0.9921, 0.4679], [0.2368, 0.9679, 0.9758], [0.2390, 0.7311, 0.2632], [0.2610, 0.5242, 0.4921], [0.2632, 0.2390, 0.7311], [0.2689, 0.7368, 0.7610], [0.4679, 0.2311, 0.9921], [0.4758, 0.5079, 0.7390], [0.4921, 0.2610, 0.5242], [0.5079, 0.7390, 0.4758], [0.5242, 0.4921, 0.2610], [0.5321, 0.7689, 0.0079], [0.7311, 0.2632, 0.2390], [0.7368, 0.7610, 0.2689], [0.7390, 0.4758, 0.5079], [0.7610, 0.2689, 0.7368], [0.7632, 0.0321, 0.0242], [0.7689, 0.0079, 0.5321], [0.9679, 0.9758, 0.2368], [0.9758, 0.2368, 0.9679], [0.9921, 0.4679, 0.2311], [0.0000, 0.2639, 0.5000], [0.0000, 0.7361, 0.5000], [0.2361, 0.2361, 0.2361], [0.2639, 0.5000, 0.0000], [0.5000, 0.0000, 0.2639], [0.5000, 0.0000, 0.7361], [0.7361, 0.5000, 0.0000], [0.7639, 0.7639, 0.7639], [0.0000, 0.0000, 0.0000], [0.0000, 0.5000, 0.5000], [0.0224, 0.2724, 0.7500], [0.2276, 0.2500, 0.4776], [0.2500, 0.4776, 0.2276], [0.2500, 0.9776, 0.7276], [0.2724, 0.7500, 0.0224], [0.4776, 0.2276, 0.2500], [0.5000, 0.0000, 0.5000], [0.5000, 0.5000, 0.0000], [0.5224, 0.7724, 0.7500], [0.7276, 0.2500, 0.9776], [0.7500, 0.0224, 0.2724], [0.7500, 0.5224, 0.7724], [0.7724, 0.7500, 0.5224], [0.9776, 0.7276, 0.2500]], "raw_formation_energy_kcal_per_mol_atoms": -15.85, "spacegroup": "Ia-3", "dft_energy_ev_per_atom": -7.70, "total_magnetization_mub_per_fu": 0.0, "volume_a3_per_atom": 9.1, "dos_ef_per_ev_atom": 0.0000}

---

No. 8
{"formula": "Be2TeCl", "functional": "SCAN", "state": "PBEsol geometry", "lattice": [[-1.4777, 3.7244, 4.3425], [1.4777, -3.7244, 4.3425], [1.4777, 3.7244, -4.3425]], "species": ["Be", "Be", "Te", "Cl"], "frac_coords": [[0.0000, 0.0000, 0.0000], [0.7752, 0.2752, 0.5000], [0.5486, 0.5486, 0.0000], [0.1557, 0.6557, 0.5000]], "raw_formation_energy_kcal_per_mol_atoms": 1.48, "spacegroup": "Imm2", "dft_energy_ev_per_atom": -13.42, "total_magnetization_mub_per_fu": 0.0, "volume_a3_per_atom": 23.9, "dos_ef_per_ev_atom": 0.1982}

---

No. 9
{"formula": "CoAg3", "functional": "SCAN", "state": "PBEsol geometry", "lattice": [[2.7449, 0.0000, 0.0000], [0.0000, 3.8532, 0.0000], [0.0000, 0.0000, 5.7170]], "species": ["Co", "Ag", "Ag", "Ag"], "frac_coords": [[0.0000, 0.0000, 0.0000], [0.0000, 0.0000, 0.5000], [0.5000, 0.5000, 0.2360], [0.5000, 0.5000, 0.7640]], "formation_enthalpy_0k_mev_per_atom": 218, "spacegroup": "Pmmm", "dft_energy_ev_per_atom": -27.63, "total_magnetization_mub_per_fu": 1.9, "volume_a3_per_atom": 15.1, "dos_ef_per_ev_atom": 0.3177}